1.
VASP calculation (PBE with a Hubbard U) on a geometry-optimized CrOF3 structure.

Summary:
N(E_F): 0.00 states/eV/f.u.
VASP energy: -5.480 eV/atom

abc: 5.3140 5.3140 9.1095
angles: 90.00 90.00 90.00
Last column: magnetic moment on the atom in μB.
Fractional positions:
Cr 0.5719 0.1196 0.7543  1.36
Cr 0.8804 0.5719 0.0043  1.36
Cr 0.1196 0.4281 0.5043  1.36
Cr 0.4281 0.8804 0.2543  1.36
O 0.3166 0.0853 0.8374  -0.32
O 0.6834 0.9147 0.3374  -0.32
O 0.9147 0.3166 0.0874  -0.32
O 0.0853 0.6834 0.5874  -0.32
F 0.9546 0.2124 0.6274  0.00
F 0.7876 0.9546 0.8774  0.00
F 0.1352 0.5841 0.8801  0.00
F 0.5621 0.6773 0.0920  0.00
F 0.2124 0.0454 0.3774  0.00
F 0.4159 0.1352 0.1301  0.00
F 0.0454 0.7876 0.1274  0.00
F 0.6773 0.4379 0.8420  0.00
F 0.3227 0.5621 0.3420  0.00
F 0.5841 0.8648 0.6301  0.00
F 0.4379 0.3227 0.5920  0.00
F 0.8648 0.4159 0.3801  0.00

=====

2.
VASP calculation (PBE with a Hubbard U) on a geometry-optimized RbMo2RhO8 structure.

Summary:
N(E_F): 0.00 states/eV/f.u.
VASP energy: -6.662 eV/atom

abc: 5.5444 5.5444 8.1170
angles: 90.00 90.00 120.00
Fractional positions:
Rb 0.0000 0.0000 0.0000
Mo 0.6667 0.3333 0.2888
Mo 0.3333 0.6667 0.7112
Rh 0.0000 0.0000 0.5000
O 0.3333 0.6667 0.9275
O 0.3203 0.2535 0.3526
O 0.7465 0.0669 0.3526
O 0.6667 0.3333 0.0725
O 0.2535 0.9331 0.6474
O 0.6797 0.7465 0.6474
O 0.0669 0.3203 0.6474
O 0.9331 0.6797 0.3526

=====

Number 1: V 64.3 Å³/f.u.. Number 2: V 216.1 Å³/f.u..